VASP calculation (PBE-GGA) on crystalline Tb2ScPaCo2 at its relaxed geometry.

CIF file:
```
data_Tb2ScPaCo2
_space_group_name_H-M_alt 'I b a m'
_space_group_IT_number 72
_space_group_name_Hall '-I 2 2c'
_cell_length_a 6.486
_cell_length_b 12.590
_cell_length_c 6.619
_cell_angle_alpha 90.00
_cell_angle_beta 90.00
_cell_angle_gamma 90.00
loop_
_atom_site_label
_atom_site_type_symbol
_atom_site_fract_x
_atom_site_fract_y
_atom_site_fract_z
Tb1 Tb 0.248 0.195 0.000
Sc1 Sc 0.000 0.500 0.250
Pa1 Pa 0.000 0.000 0.250
Co1 Co 0.224 0.089 0.500
```

Calculated values
The formation energy from the elements comes out at -0.230 eV/atom. The total energy comes out at -6.780 eV per atom. The calculation puts the calculated volume at 22.522 A^3/atom.

---

VASP calculation (PBE-GGA) on crystalline ScPaCoTc at its relaxed geometry.

CIF file:
```
data_ScPaCoTc
_space_group_name_H-M_alt 'F -4 3 m'
_space_group_IT_number 216
_space_group_name_Hall 'F -4 2 3'
_cell_length_a 6.593
_cell_length_b 6.593
_cell_length_c 6.593
_cell_angle_alpha 90.00
_cell_angle_beta 90.00
_cell_angle_gamma 90.00
loop_
_atom_site_label
_atom_site_type_symbol
_atom_site_fract_x
_atom_site_fract_y
_atom_site_fract_z
Sc1 Sc 0.000 0.000 0.000
Pa1 Pa 0.000 0.000 0.500
Co1 Co 0.250 0.250 0.250
Tc1 Tc 0.250 0.250 0.750
```

Calculated values
The formation energy from the elements comes out at -0.277 eV/atom. The total energy comes out at -8.601 eV per atom. The calculation puts the calculated volume at 17.915 A^3/atom.

---

VASP calculation (PBE-GGA) on crystalline Zr2ScPaCo2 at its relaxed geometry.

CIF file:
```
data_Zr2ScPaCo2
_space_group_name_H-M_alt 'I b a m'
_space_group_IT_number 72
_space_group_name_Hall '-I 2 2c'
_cell_length_a 5.889
_cell_length_b 13.353
_cell_length_c 5.978
_cell_angle_alpha 90.00
_cell_angle_beta 90.00
_cell_angle_gamma 90.00
loop_
_atom_site_label
_atom_site_type_symbol
_atom_site_fract_x
_atom_site_fract_y
_atom_site_fract_z
Zr1 Zr 0.239 0.192 0.000
Sc1 Sc 0.000 0.000 0.250
Pa1 Pa 0.000 0.500 0.250
Co1 Co 0.221 0.371 0.000
```

Calculated values
The formation energy from the elements comes out at -0.082 eV/atom. The total energy comes out at -7.938 eV per atom. The calculation puts the calculated volume at 19.587 A^3/atom.

---

VASP calculation (PBE-GGA) on crystalline Pa6CoSe5 at its relaxed geometry.

CIF file:
```
data_Pa6CoSe5
_space_group_name_H-M_alt 'C 1 2/m 1'
_space_group_IT_number 12
_space_group_name_Hall '-C 2y'
_cell_length_a 7.067
_cell_length_b 12.150
_cell_length_c 6.995
_cell_angle_alpha 90.00
_cell_angle_beta 109.63
_cell_angle_gamma 90.00
loop_
_atom_site_label
_atom_site_type_symbol
_atom_site_fract_x
_atom_site_fract_y
_atom_site_fract_z
Pa1 Pa 0.227 0.000 0.257
Pa2 Pa 0.230 0.155 0.731
Co1 Co 0.000 0.000 0.500
Se1 Se 0.000 0.178 0.000
Se2 Se 0.000 0.337 0.500
Se3 Se 0.000 0.500 0.000
```

Calculated values
The total energy comes out at -7.852 eV per atom. The calculation puts the calculated volume at 23.570 A^3/atom. The value obtained for the uncorrected formation energy is -1.0597 eV per atom.

---

VASP calculation (PBE-GGA) on crystalline PaCo2Se3 at its relaxed geometry.

CIF file:
```
data_PaCo2Se3
_space_group_name_H-M_alt 'C 1 2/m 1'
_space_group_IT_number 12
_space_group_name_Hall '-C 2y'
_cell_length_a 19.735
_cell_length_b 3.842
_cell_length_c 7.303
_cell_angle_alpha 90.00
_cell_angle_beta 103.10
_cell_angle_gamma 90.00
loop_
_atom_site_label
_atom_site_type_symbol
_atom_site_fract_x
_atom_site_fract_y
_atom_site_fract_z
Pa1 Pa 0.151 0.000 0.027
Co1 Co 0.055 0.500 0.132
Co2 Co 0.222 0.000 0.416
Se1 Se 0.064 0.500 0.810
Se2 Se 0.095 0.000 0.338
Se3 Se 0.244 0.000 0.759
```

Calculated values
The total energy comes out at -6.330 eV per atom. The calculation puts the calculated volume at 22.470 A^3/atom. The value obtained for the uncorrected formation energy is -0.6368 eV per atom.

---

VASP calculation (PBE-GGA) on crystalline Pa3CoSe2 at its relaxed geometry.

CIF file:
```
data_Pa3CoSe2
_space_group_name_H-M_alt 'C 1 2/m 1'
_space_group_IT_number 12
_space_group_name_Hall '-C 2y'
_cell_length_a 6.896
_cell_length_b 11.879
_cell_length_c 7.128
_cell_angle_alpha 90.00
_cell_angle_beta 109.03
_cell_angle_gamma 90.00
loop_
_atom_site_label
_atom_site_type_symbol
_atom_site_fract_x
_atom_site_fract_y
_atom_site_fract_z
Pa1 Pa 0.215 0.000 0.218
Pa2 Pa 0.247 0.180 0.773
Co1 Co 0.000 0.167 0.000
Se1 Se 0.000 0.000 0.500
Se2 Se 0.000 0.346 0.500
Se3 Se 0.000 0.500 0.000
```

Calculated values
The total energy comes out at -7.985 eV per atom. The calculation puts the calculated volume at 22.999 A^3/atom. The value obtained for the uncorrected formation energy is -0.8917 eV per atom.

---

VASP calculation (PBE-GGA) on crystalline Pa2CoSe5 at its relaxed geometry.

CIF file:
```
data_Pa2CoSe5
_space_group_name_H-M_alt 'C m c m'
_space_group_IT_number 63
_space_group_name_Hall '-C 2c 2'
_cell_length_a 5.583
_cell_length_b 12.585
_cell_length_c 12.677
_cell_angle_alpha 90.00
_cell_angle_beta 90.00
_cell_angle_gamma 90.00
loop_
_atom_site_label
_atom_site_type_symbol
_atom_site_fract_x
_atom_site_fract_y
_atom_site_fract_z
Pa1 Pa 0.000 0.155 0.066
Co1 Co 0.000 0.212 0.750
Se1 Se 0.000 0.054 0.626
Se2 Se 0.000 0.279 0.250
Se3 Se 0.000 0.336 0.580
```

Calculated values
The total energy comes out at -6.346 eV per atom. The calculation puts the calculated volume at 27.837 A^3/atom. The value obtained for the uncorrected formation energy is -0.9063 eV per atom.

---

VASP calculation (PBE-GGA) on crystalline PaCoSe4 at its relaxed geometry.

CIF file:
```
data_PaCoSe4
_space_group_name_H-M_alt 'I 41 m d'
_space_group_IT_number 109
_space_group_name_Hall 'I 4bw -2'
_cell_length_a 9.155
_cell_length_b 9.155
_cell_length_c 7.444
_cell_angle_alpha 90.00
_cell_angle_beta 90.00
_cell_angle_gamma 90.00
loop_
_atom_site_label
_atom_site_type_symbol
_atom_site_fract_x
_atom_site_fract_y
_atom_site_fract_z
Pa1 Pa 0.000 0.000 0.000
Co1 Co 0.000 0.000 0.496
Se1 Se 0.000 0.306 0.966
Se2 Se 0.000 0.307 0.525
```

Calculated values
The total energy comes out at -5.721 eV per atom. The calculation puts the calculated volume at 25.997 A^3/atom. The value obtained for the uncorrected formation energy is -0.6310 eV per atom.

---

VASP calculation (PBE-GGA) on crystalline Pa2CoSe at its relaxed geometry.

CIF file:
```
data_Pa2CoSe
_space_group_name_H-M_alt 'C 1 2/m 1'
_space_group_IT_number 12
_space_group_name_Hall '-C 2y'
_cell_length_a 6.909
_cell_length_b 3.734
_cell_length_c 7.300
_cell_angle_alpha 90.00
_cell_angle_beta 108.62
_cell_angle_gamma 90.00
loop_
_atom_site_label
_atom_site_type_symbol
_atom_site_fract_x
_atom_site_fract_y
_atom_site_fract_z
Pa1 Pa 0.232 0.000 0.215
Co1 Co 0.000 0.500 0.000
Se1 Se 0.000 0.000 0.500
```

Calculated values
The total energy comes out at -8.115 eV per atom. The calculation puts the calculated volume at 22.307 A^3/atom. The relative energy among the computed polymorphs is 0 meV/atom. The value obtained for the uncorrected formation energy is -0.7190 eV per atom.

---

VASP calculation (PBE-GGA) on crystalline PaCo2Se6 at its relaxed geometry.

CIF file:
```
data_PaCo2Se6
_space_group_name_H-M_alt 'C 1 2/m 1'
_space_group_IT_number 12
_space_group_name_Hall '-C 2y'
_cell_length_a 12.498
_cell_length_b 4.546
_cell_length_c 8.449
_cell_angle_alpha 90.00
_cell_angle_beta 122.51
_cell_angle_gamma 90.00
loop_
_atom_site_label
_atom_site_type_symbol
_atom_site_fract_x
_atom_site_fract_y
_atom_site_fract_z
Pa1 Pa 0.000 0.000 0.000
Co1 Co 0.169 0.000 0.580
Se1 Se 0.033 0.000 0.696
Se2 Se 0.162 0.500 0.086
Se3 Se 0.244 0.500 0.611
```

Calculated values
The total energy comes out at -5.502 eV per atom. The calculation puts the calculated volume at 22.492 A^3/atom. The value obtained for the uncorrected formation energy is -0.5450 eV per atom.